Computed, not measured: a geometry-optimized RbTl4Bi structure at the PBE-GGA level of DFT.

a = 6.661 Å, b = 6.661 Å, c = 6.661 Å
α = 60.00°, β = 60.00°, γ = 60.00°
Positions (direct):
Tl 0.122 0.626 0.626
Tl 0.626 0.626 0.626
Tl 0.626 0.626 0.122
Bi 0.000 0.000 0.000
Rb 0.250 0.250 0.250
Tl 0.626 0.122 0.626

Values from the calculation:
Space group: F-43m, No. 216
V (Å³/cell): 209.0
Formation energy from the elements (meV/atom): -27
Energy relative to the lowest polymorph listed for this composition (meV per atom): 68
Calculated total energy (eV/atom): -2.413

=====

Computed, not measured: a geometry-optimized Pd7Pt5 structure at the PBE-GGA level of DFT.

a = 3.967 Å, b = 6.250 Å, c = 8.372 Å
α = 72.65°, β = 76.29°, γ = 71.50°
Positions (direct):
Pt 0.667 0.667 0.000
Pd 0.000 0.999 0.000
Pd 0.417 0.916 0.251
Pd 0.832 0.835 0.500
Pt 0.750 0.252 0.249
Pt 0.584 0.083 0.750
Pd 0.500 0.498 0.501
Pd 0.167 0.167 0.499
Pd 0.250 0.750 0.749
Pd 0.083 0.584 0.250
Pt 0.916 0.417 0.751
Pt 0.334 0.332 0.000

Values from the calculation:
Space group: Cm, No. 8
V (Å³/cell): 185.6
Formation energy from the elements (meV/atom): -18
Energy relative to the lowest polymorph listed for this composition (meV per atom): 0
Calculated total energy (eV/atom): -5.564

=====

Computed, not measured: a geometry-optimized Rb2AgHg structure at the PBE-GGA level of DFT.

a = 5.030 Å, b = 7.074 Å, c = 10.430 Å
α = 111.61°, β = 90.00°, γ = 90.00°
Positions (direct):
Ag 0.250 0.385 0.220
Hg 0.750 0.621 0.279
Ag 0.750 0.615 0.780
Rb 0.250 0.784 0.573
Hg 0.250 0.379 0.721
Rb 0.750 0.208 0.929
Rb 0.750 0.216 0.427
Rb 0.250 0.792 0.071

Values from the calculation:
Space group: P2_1/m, No. 11
V (Å³/cell): 345.1
Formation energy from the elements (meV/atom): -114
Calculated total energy (eV/atom): -1.386

=====

Computed, not measured: a geometry-optimized Tb2PaGe structure at the PBE-GGA level of DFT.

a = 3.272 Å, b = 3.272 Å, c = 11.371 Å
α = 81.73°, β = 81.73°, γ = 60.00°
Positions (direct):
Tb 0.904 0.904 0.288
Tb 0.096 0.096 0.712
Ge 0.500 0.500 0.500
Pa 0.000 0.000 0.000

Values from the calculation:
Space group: R-3m, No. 166
V (Å³/cell): 103.9
Formation energy from the elements (meV/atom): 88
Energy relative to the lowest polymorph listed for this composition (meV per atom): 254
Calculated total energy (eV/atom): -5.755

=====

Computed, not measured: a geometry-optimized Ba2PmAs2O6 structure at the PBE-GGA level of DFT.

a = 5.743 Å, b = 5.748 Å, c = 7.341 Å
α = 113.10°, β = 90.00°, γ = 119.97°
Positions (direct):
O 0.760 0.521 0.769
Ba 0.708 0.416 0.124
O 0.752 0.992 0.231
O 0.760 0.008 0.769
As 0.881 0.761 0.642
As 0.119 0.239 0.358
Ba 0.292 0.584 0.876
Pm 0.500 0.000 0.500
O 0.240 0.479 0.231
O 0.248 0.008 0.769
O 0.240 0.992 0.231

Values from the calculation:
Formation energy (no corrections) (eV/atom): -2.1908
Space group: R-3m, No. 166
V (Å³/cell): 187.2
Calculated total energy (eV/atom): -6.522

=====

Computed, not measured: a geometry-optimized BeAgOs structure at the PBE-GGA level of DFT.

a = 5.480 Å, b = 5.480 Å, c = 5.481 Å
α = 150.42°, β = 150.41°, γ = 42.31°
Positions (direct):
Ag 0.986 0.986 0.000
Be 0.319 0.319 0.000
Os 0.695 0.695 0.000

Values from the calculation:
Space group: I4mm, No. 107
V (Å³/cell): 40.0
Formation energy from the elements (meV/atom): 318
Energy relative to the lowest polymorph listed for this composition (meV per atom): 31
Calculated total energy (eV/atom): -5.618

=====

Computed, not measured: a geometry-optimized Cr2CoTc structure at the PBE-GGA level of DFT.

a = 4.135 Å, b = 4.135 Å, c = 4.135 Å
α = 60.00°, β = 60.00°, γ = 60.00°
Positions (direct):
Tc 0.750 0.750 0.750
Cr 0.000 0.000 0.000
Co 0.500 0.500 0.500
Cr 0.250 0.250 0.250

Values from the calculation:
Space group: F-43m, No. 216
V (Å³/cell): 50.0
Formation energy from the elements (meV/atom): 138
Calculated total energy (eV/atom): -9.042